(1)
A plane-wave DFT calculation with PBEsol was carried out for crystalline Sc2CuHgRu at its relaxed geometry.

Cell: 4.8050 4.8050 4.6993 Å, 90.00 90.00 90.00°
Closest atoms and distances in Å follow each position.
Element x y z (fractional)
Sc 0.0000 0.5000 0.0000  2 Ru 2.40
Sc 0.5000 0.0000 0.0000  2 Ru 2.40
Cu 0.0000 0.0000 0.5000  2 Ru 2.35
Hg 0.5000 0.5000 0.5000  8 Sc 3.36, 4 Cu 3.40
Ru 0.0000 0.0000 0.0000  2 Cu 2.35, 4 Sc 2.40

Calculated values
V: 108.5 Å³ per cell
calculated formation energy: 0.166 eV per atom
SG: P4/mmm (123)
magnetization: 0.00 μB per formula unit

---

(2)
A plane-wave DFT calculation with PBEsol was carried out for crystalline ZnReB3 at its relaxed geometry.

Cell: 3.7874 3.7874 3.7874 Å, 90.00 90.00 90.00°
Closest atoms and distances in Å follow each position.
Element x y z (fractional)
Zn 0.0000 0.0000 0.0000  6 B 1.89
Re 0.5000 0.5000 0.5000  12 B 2.68
B 0.0000 0.0000 0.5000  2 Zn 1.89
B 0.0000 0.5000 0.0000  2 Zn 1.89
B 0.5000 0.0000 0.0000  2 Zn 1.89

Calculated values
V: 54.3 Å³ per cell
calculated formation energy: 2.206 eV per atom
SG: Pm-3m (221)
magnetization: 0.02 μB per formula unit

---

(3)
A plane-wave DFT calculation with PBEsol was carried out for crystalline KHgAu at its relaxed geometry.

Cell: 6.3047 6.3047 6.3047 Å, 145.48 145.48 49.62°
Closest atoms and distances in Å follow each position.
Element x y z (fractional)
K 0.0000 0.0000 0.0000  5 Hg 3.39-3.53, 5 Au 3.46-3.49, 4 K 3.74
Hg 0.7037 0.7037 0.0000  4 Au 2.89
Au 0.3049 0.3049 0.0000  4 Hg 2.89

Calculated values
V: 80.1 Å³ per cell
calculated formation energy: -0.157 eV per atom
SG: I4mm (107)
magnetization: 0.00 μB per formula unit
polymorph energy (0 for the lowest one): 41.0 meV/atom

---

(4)
A plane-wave DFT calculation with PBEsol was carried out for crystalline TcTeMo at its relaxed geometry.

Cell: 4.4110 4.4110 2.9636 Å, 90.00 90.00 120.00°
Closest atoms and distances in Å follow each position.
Element x y z (fractional)
Tc 0.0000 0.0000 0.0000  3 Te 2.55
Te 0.6667 0.3333 0.0000  3 Tc 2.55
Mo 0.3333 0.6667 0.5000  6 Tc 2.95, 6 Te 2.95, 2 Mo 2.96

Calculated values
energy relative to the elements, uncorrected: 387.1 meV per atom
V: 49.9 Å³ per cell
SG: P-6m2 (187)
magnetization: 0.00 μB per formula unit
polymorph energy (0 for the lowest one): 0.0 meV/atom

---

(5)
A plane-wave DFT calculation with PBEsol was carried out for crystalline BaNbMo3 at its relaxed geometry.

Cell: 4.8992 4.8992 4.8992 Å, 90.00 90.00 90.00°
Closest atoms and distances in Å follow each position.
Element x y z (fractional)
Ba 0.0000 0.0000 0.0000  12 Mo 3.46
Nb 0.5000 0.5000 0.5000  6 Mo 2.45
Mo 0.0000 0.5000 0.5000  2 Nb 2.45
Mo 0.5000 0.0000 0.5000  2 Nb 2.45
Mo 0.5000 0.5000 0.0000  2 Nb 2.45

Calculated values
V: 117.6 Å³ per cell
calculated formation energy: 1.684 eV per atom
SG: Pm-3m (221)
magnetization: 0.75 μB per formula unit

---

(6)
A plane-wave DFT calculation with PBEsol was carried out for crystalline KHg2Pb2 at its relaxed geometry.

Cell: 9.0358 9.0358 3.5377 Å, 90.00 90.00 90.00°
Closest atoms and distances in Å follow each position.
Element x y z (fractional)
K 0.0000 0.0000 0.0000  2 K 3.54, 4 Pb 3.55, 8 Hg 3.81
K 0.5000 0.5000 0.0000  2 K 3.54, 4 Pb 3.55, 8 Hg 3.81
Hg 0.1662 0.3338 0.5000  6 Pb 3.15-3.22
Hg 0.3338 0.8338 0.5000  6 Pb 3.15-3.22
Hg 0.6662 0.1662 0.5000  6 Pb 3.15-3.22
Hg 0.8338 0.6662 0.5000  6 Pb 3.15-3.22
Pb 0.1295 0.6295 0.0000  6 Hg 3.15-3.22, 1 Pb 3.31
Pb 0.3705 0.1295 0.0000  6 Hg 3.15-3.22, 1 Pb 3.31
Pb 0.6295 0.8705 0.0000  6 Hg 3.15-3.22, 1 Pb 3.31
Pb 0.8705 0.3705 0.0000  6 Hg 3.15-3.22, 1 Pb 3.31

Calculated values
V: 288.8 Å³ per cell
calculated formation energy: -0.093 eV per atom
SG: P4/mbm (127)
magnetization: 0.00 μB per formula unit
polymorph energy (0 for the lowest one): 0.0 meV/atom

---

(7)
A plane-wave DFT calculation with PBEsol was carried out for crystalline Cr2FeCo at its relaxed geometry.

Cell: 4.2739 4.2739 4.2739 Å, 132.28 132.28 69.79°
Closest atoms and distances in Å follow each position.
Element x y z (fractional)
Cr 0.0000 0.0000 0.0000  4 Fe 2.44, 4 Cr 2.46, 4 Co 2.46
Cr 0.7500 0.2500 0.5000  4 Co 2.44, 4 Cr 2.46, 4 Fe 2.46
Fe 0.5000 0.5000 0.0000  8 Cr 2.44-2.46, 4 Co 2.46
Co 0.2500 0.7500 0.5000  8 Cr 2.44-2.46, 4 Fe 2.46

Calculated values
V: 41.9 Å³ per cell
calculated formation energy: 0.101 eV per atom
SG: I-4m2 (119)
magnetization: 0.00 μB per formula unit

---

(8)
A plane-wave DFT calculation with PBEsol was carried out for crystalline K2HgSbSe at its relaxed geometry.

Cell: 6.0903 6.0903 5.4557 Å, 90.00 90.00 90.00°
Closest atoms and distances in Å follow each position.
Element x y z (fractional)
K 0.0000 0.5000 0.0000  2 Se 3.05
K 0.5000 0.0000 0.0000  2 Se 3.05
Hg 0.0000 0.0000 0.5000  8 K 4.09, 4 Sb 4.31
Sb 0.5000 0.5000 0.5000  2 Se 2.73
Se 0.5000 0.5000 0.0000  2 Sb 2.73, 4 K 3.05

Calculated values
energy relative to the elements, uncorrected: -275.9 meV per atom
V: 202.4 Å³ per cell
SG: P4/mmm (123)
magnetization: 0.00 μB per formula unit

---

(9)
A plane-wave DFT calculation with PBEsol was carried out for crystalline CuTcCl2 at its relaxed geometry.

Cell: 7.2594 7.2594 7.2594 Å, 153.33 153.21 38.17°
Closest atoms and distances in Å follow each position.
Element x y z (fractional)
Cu 0.0000 0.0000 0.0000  4 Cl 2.45, 2 Tc 2.51
Tc 0.1361 0.6361 0.5000  2 Cu 2.51, 4 Cl 2.62
Cl 0.4545 0.4545 0.0000  4 Cu 2.45
Cl 0.7176 0.2176 0.5000  4 Tc 2.62

Calculated values
energy relative to the elements, uncorrected: 430.4 meV per atom
V: 77.3 Å³ per cell
SG: Imm2 (44)
magnetization: 3.54 μB per formula unit
polymorph energy (0 for the lowest one): 466.5 meV/atom

---

(10)
A plane-wave DFT calculation with PBEsol was carried out for crystalline Ba2CdAu at its relaxed geometry.

Cell: 4.9616 6.5211 6.5211 Å, 41.43 90.00 90.00°
Closest atoms and distances in Å follow each position.
Element x y z (fractional)
Ba 0.0000 0.0000 0.0000  3 Au 3.41-3.59, 4 Cd 3.51
Ba 0.5000 0.2827 0.2827  3 Cd 3.41-3.58, 4 Au 3.51
Cd 0.5000 0.5765 0.5765  2 Au 2.94
Au 0.0000 0.7061 0.7061  2 Cd 2.94

Calculated values
V: 139.6 Å³ per cell
calculated formation energy: -0.448 eV per atom
SG: Amm2 (38)
magnetization: 0.00 μB per formula unit

---

(11)
A plane-wave DFT calculation with PBEsol was carried out for crystalline LaCI2O at its relaxed geometry.

Cell: 5.4392 5.4392 3.5808 Å, 90.00 90.00 90.00°
Closest atoms and distances in Å follow each position.
Element x y z (fractional)
La 0.0000 0.0000 0.0000  8 I 3.26, 2 La 3.58
C 0.5000 0.5000 0.5000  2 O 1.79
I 0.0000 0.5000 0.5000  2 C 2.72
I 0.5000 0.0000 0.5000  2 C 2.72
O 0.5000 0.5000 0.0000  2 C 1.79

Calculated values
energy relative to the elements, uncorrected: 263.5 meV per atom
V: 105.9 Å³ per cell
SG: P4/mmm (123)
magnetization: 0.00 μB per formula unit

---

(12)
A plane-wave DFT calculation with PBEsol was carried out for crystalline ReAgIr2 at its relaxed geometry.

Cell: 5.6401 5.6401 5.6401 Å, 152.15 132.40 56.05°
Closest atoms and distances in Å follow each position.
Element x y z (fractional)
Re 0.0000 0.0000 0.0000  6 Ir 2.53-2.71, 2 Re 2.71
Ag 0.7255 0.2255 0.5000  4 Ir 2.65, 2 Ag 2.71
Ir 0.2144 0.7144 0.5000  2 Re 2.53, 4 Ag 2.65, 4 Ir 2.66-2.71
Ir 0.4446 0.4446 0.0000  4 Ir 2.66-2.71, 4 Re 2.71

Calculated values
V: 61.5 Å³ per cell
calculated formation energy: 0.385 eV per atom
SG: Imm2 (44)
magnetization: 0.00 μB per formula unit
polymorph energy (0 for the lowest one): 355.2 meV/atom